Here is a crystal of TcMoPb relaxed with PBEsol from Alexandria via LeMat-Bulk. Energies are from SCAN.

Results
* energy of formation: 0.7387 eV/atom
* offset from the most stable computed form: 0.00 eV per formula unit
* M_tot: 0.00 μB/f.u.
* calculated density: 12.86 g/cm3
* final energy: -47.837 eV/atom

Lattice parameters (Å, degrees): 4.538 4.538 2.905 90.00 90.00 120.00
Fractional coordinates of all 3 atoms:
Tc 0.000 0.000 0.000
Mo 0.333 0.667 0.500
Pb 0.667 0.333 0.000



Here is a crystal of Te2MoPb relaxed with PBEsol from Alexandria via LeMat-Bulk. Energies are from SCAN.

Results
* formation energy without anion corrections: 0.264 eV/atom
* M_tot: 0.00 μB/f.u.
* calculated density: 8.94 g/cm3
* final energy: -46.028 eV/atom

Lattice parameters (Å, degrees): 7.086 7.086 7.086 153.03 139.79 49.09
Fractional coordinates of all 4 atoms:
Te 0.173 0.173 0.000
Te 0.827 0.827 0.000
Mo 0.000 0.500 0.500
Pb 0.500 0.000 0.500



Here is a crystal of TeMo2Pb relaxed with PBEsol from Alexandria via LeMat-Bulk. Energies are from SCAN.

Results
* formation energy without anion corrections: 0.603 eV/atom
* offset from the most stable computed form: 0.05 eV per formula unit
* M_tot: 0.00 μB/f.u.
* calculated density: 11.21 g/cm3
* final energy: -45.097 eV/atom

Lattice parameters (Å, degrees): 6.153 6.153 6.153 148.55 139.80 51.91
Fractional coordinates of all 4 atoms:
Te 0.000 0.000 0.000
Mo 0.192 0.692 0.500
Mo 0.430 0.430 0.000
Pb 0.749 0.249 0.500



Here is a crystal of TeMo2Pb relaxed with PBEsol from Alexandria via LeMat-Bulk. Energies are from SCAN.

Results
* formation energy without anion corrections: 0.961 eV/atom
* offset from the most stable computed form: 1.48 eV per formula unit
* M_tot: 0.00 μB/f.u.
* calculated density: 11.32 g/cm3
* final energy: -44.739 eV/atom

Lattice parameters (Å, degrees): 4.780 4.780 4.780 60.00 60.00 60.00
Fractional coordinates of all 4 atoms:
Te 0.000 0.000 0.000
Mo 0.250 0.250 0.250
Mo 0.500 0.500 0.500
Pb 0.750 0.750 0.750



Here is a crystal of TeMo2Pb relaxed with PBEsol from Alexandria via LeMat-Bulk. Energies are from SCAN.

Results
* formation energy without anion corrections: 0.943 eV/atom
* offset from the most stable computed form: 1.41 eV per formula unit
* M_tot: 0.00 μB/f.u.
* calculated density: 11.16 g/cm3
* final energy: -44.758 eV/atom

Lattice parameters (Å, degrees): 3.163 3.163 8.785 90.00 90.00 116.94
Fractional coordinates of all 4 atoms:
Te 0.000 0.000 0.000
Mo 0.500 0.500 0.237
Mo 0.500 0.500 0.763
Pb 0.000 0.000 0.500



Here is a crystal of TeMo2Pb relaxed with PBEsol from Alexandria via LeMat-Bulk. Energies are from SCAN.

Results
* formation energy without anion corrections: 0.591 eV/atom
* offset from the most stable computed form: 0.00 eV per formula unit
* M_tot: 0.00 μB/f.u.
* calculated density: 11.37 g/cm3
* final energy: -45.109 eV/atom

Lattice parameters (Å, degrees): 3.225 4.950 4.817 90.00 90.13 90.00
Fractional coordinates of all 4 atoms:
Te 0.000 0.000 0.000
Mo 0.000 0.500 0.256
Mo 0.502 0.000 0.448
Pb 0.500 0.500 0.741



Here is a crystal of TeMo2Pb relaxed with PBEsol from Alexandria via LeMat-Bulk. Energies are from SCAN.

Results
* formation energy without anion corrections: 0.610 eV/atom
* offset from the most stable computed form: 0.08 eV per formula unit
* M_tot: 0.00 μB/f.u.
* calculated density: 11.89 g/cm3
* final energy: -45.091 eV/atom

Lattice parameters (Å, degrees): 3.305 3.305 6.731 90.00 90.00 90.00
Fractional coordinates of all 4 atoms:
Te 0.000 0.000 0.000
Mo 0.500 0.500 0.231
Mo 0.500 0.500 0.769
Pb 0.000 0.000 0.500



Here is a crystal of MoPbW2 relaxed with PBEsol from Alexandria via LeMat-Bulk. Energies are from SCAN.

Results
* energy of formation: 0.8151 eV/atom
* M_tot: 0.00 μB/f.u.
* calculated density: 16.38 g/cm3
* final energy: -61.695 eV/atom

Lattice parameters (Å, degrees): 3.334 4.482 4.552 90.00 90.00 90.00
Fractional coordinates of all 4 atoms:
Mo 0.000 0.000 0.000
Pb 0.500 0.500 0.000
W 0.000 0.500 0.500
W 0.500 0.000 0.500



Here is a crystal of Mo2PbW relaxed with PBEsol from Alexandria via LeMat-Bulk. Energies are from SCAN.

Results
* energy of formation: 0.5406 eV/atom
* M_tot: 0.00 μB/f.u.
* calculated density: 13.80 g/cm3
* final energy: -53.269 eV/atom

Lattice parameters (Å, degrees): 2.878 2.878 9.051 90.00 90.00 110.64
Fractional coordinates of all 4 atoms:
Mo 0.000 0.000 0.229
Mo 0.000 0.000 0.771
Pb 0.500 0.500 0.500
W 0.500 0.500 0.000



Here is a crystal of Mo2PbW relaxed with PBEsol from Alexandria via LeMat-Bulk. Energies are from SCAN.

Results
* energy of formation: 0.7865 eV/atom
* M_tot: 0.00 μB/f.u.
* calculated density: 14.25 g/cm3
* final energy: -53.023 eV/atom

Lattice parameters (Å, degrees): 4.580 4.580 4.580 60.00 60.00 60.00
Fractional coordinates of all 4 atoms:
Mo 0.000 0.000 0.000
Mo 0.250 0.250 0.250
Pb 0.750 0.750 0.750
W 0.500 0.500 0.500



Here is a crystal of Mo2PbW relaxed with PBEsol from Alexandria via LeMat-Bulk. Energies are from SCAN.

Results
* energy of formation: 0.6018 eV/atom
* M_tot: 0.00 μB/f.u.
* calculated density: 13.74 g/cm3
* final energy: -53.208 eV/atom

Lattice parameters (Å, degrees): 3.013 4.072 5.743 90.00 90.00 90.00
Fractional coordinates of all 4 atoms:
Mo 0.000 0.000 0.000
Mo 0.500 0.500 0.212
Pb 0.000 0.000 0.499
W 0.500 0.500 0.799



Here is a crystal of MoPbW2 relaxed with PBEsol from Alexandria via LeMat-Bulk. Energies are from SCAN.

Results
* energy of formation: 0.8632 eV/atom
* M_tot: 0.00 μB/f.u.
* calculated density: 15.53 g/cm3
* final energy: -61.647 eV/atom

Lattice parameters (Å, degrees): 9.109 9.109 9.109 19.24 19.24 19.24
Fractional coordinates of all 4 atoms:
Mo 0.000 0.000 0.000
Pb 0.500 0.500 0.500
W 0.260 0.260 0.260
W 0.740 0.740 0.740



Here is a crystal of MoPbW2 relaxed with PBEsol from Alexandria via LeMat-Bulk. Energies are from SCAN.

Results
* energy of formation: 0.8308 eV/atom
* M_tot: 0.00 μB/f.u.
* calculated density: 16.38 g/cm3
* final energy: -61.680 eV/atom

Lattice parameters (Å, degrees): 5.035 5.035 5.035 132.53 132.53 69.39
Fractional coordinates of all 4 atoms:
Mo 0.000 0.000 0.000
Pb 0.750 0.250 0.500
W 0.250 0.750 0.500
W 0.500 0.500 0.000



Here is a crystal of Y2MoPb relaxed with PBEsol from Alexandria via LeMat-Bulk. Energies are from SCAN.

Results
* energy of formation: 0.0341 eV/atom
* M_tot: 0.00 μB/f.u.
* calculated density: 8.44 g/cm3
* final energy: -41.554 eV/atom

Lattice parameters (Å, degrees): 5.998 5.998 4.904 114.06 114.06 36.43
Fractional coordinates of all 4 atoms:
Y 0.000 0.000 0.000
Y 0.224 0.224 0.726
Mo 0.481 0.481 0.481
Pb 0.770 0.770 0.272



Here is a crystal of Y2MoPb relaxed with PBEsol from Alexandria via LeMat-Bulk. Energies are from SCAN.

Results
* energy of formation: 0.1323 eV/atom
* M_tot: 0.32 μB/f.u.
* calculated density: 8.11 g/cm3
* final energy: -41.456 eV/atom

Lattice parameters (Å, degrees): 9.782 9.782 9.782 20.29 20.29 20.29
Fractional coordinates of all 4 atoms:
Y 0.240 0.240 0.240
Y 0.760 0.760 0.760
Mo 0.500 0.500 0.500
Pb 0.000 0.000 0.000



Here is a crystal of ZnMo2Pb relaxed with PBEsol from Alexandria via LeMat-Bulk. Energies are from SCAN.

Results
* energy of formation: 0.5554 eV/atom
* offset from the most stable computed form: 0.58 eV per formula unit
* M_tot: 0.00 μB/f.u.
* calculated density: 11.49 g/cm3
* final energy: -39.211 eV/atom

Lattice parameters (Å, degrees): 5.287 5.287 5.287 143.77 128.91 64.23
Fractional coordinates of all 4 atoms:
Zn 0.000 0.000 0.000
Mo 0.243 0.743 0.500
Mo 0.757 0.257 0.500
Pb 0.500 0.500 0.000



Here is a crystal of ZnMo2Pb relaxed with PBEsol from Alexandria via LeMat-Bulk. Energies are from SCAN.

Results
* energy of formation: 0.4828 eV/atom
* offset from the most stable computed form: 0.29 eV per formula unit
* M_tot: 0.00 μB/f.u.
* calculated density: 10.98 g/cm3
* final energy: -39.284 eV/atom

Lattice parameters (Å, degrees): 4.911 4.911 4.775 100.39 100.39 38.44
Fractional coordinates of all 4 atoms:
Zn 0.000 0.000 0.000
Mo 0.254 0.254 0.802
Mo 0.746 0.746 0.198
Pb 0.500 0.500 0.500



Here is a crystal of ZnMoPb2 relaxed with PBEsol from Alexandria via LeMat-Bulk. Energies are from SCAN.

Results
* energy of formation: 0.6917 eV/atom
* M_tot: 0.00 μB/f.u.
* calculated density: 11.85 g/cm3
* final energy: -49.299 eV/atom

Lattice parameters (Å, degrees): 5.303 5.303 5.303 137.38 125.31 71.71
Fractional coordinates of all 4 atoms:
Zn 0.000 0.000 0.000
Mo 0.500 0.500 0.000
Pb 0.244 0.744 0.500
Pb 0.756 0.256 0.500



Here is a crystal of ZnMo2Pb relaxed with PBEsol from Alexandria via LeMat-Bulk. Energies are from SCAN.

Results
* energy of formation: 0.4113 eV/atom
* offset from the most stable computed form: 0.00 eV per formula unit
* M_tot: 0.00 μB/f.u.
* calculated density: 10.17 g/cm3
* final energy: -39.355 eV/atom

Lattice parameters (Å, degrees): 9.160 9.160 9.160 19.63 19.63 19.63
Fractional coordinates of all 4 atoms:
Zn 0.000 0.000 0.000
Mo 0.255 0.255 0.255
Mo 0.525 0.525 0.525
Pb 0.763 0.763 0.763



Here is a crystal of ZnMoPb2 relaxed with PBEsol from Alexandria via LeMat-Bulk. Energies are from SCAN.

Results
* energy of formation: 0.6939 eV/atom
* M_tot: 1.70 μB/f.u.
* calculated density: 11.87 g/cm3
* final energy: -49.297 eV/atom

Lattice parameters (Å, degrees): 4.910 4.910 3.340 90.00 90.00 90.00
Fractional coordinates of all 4 atoms:
Zn 0.000 0.000 0.000
Mo 0.500 0.500 0.000
Pb 0.000 0.500 0.500
Pb 0.500 0.000 0.500